# 1
Material: HfBRh3
Method: DFT, PBE
State: optimized geometry

extended XYZ file:
```
20
Lattice="-4.241 2.011 -2.370 0.406 -5.142 -5.089 -4.476 -4.501 4.190" Properties=species:S:1:pos:R:3 pbc="T T T"
Rh -3.423 -1.013 -0.012
Rh -4.570 -0.983 -3.766
Rh -3.598 -8.459 -1.294
Rh -3.741 -6.649 0.498
Rh -3.957 -3.707 -4.308
Rh -5.031 -4.808 -1.465
Rh -4.888 -6.619 -3.256
Rh -6.765 -3.212 0.126
Rh -3.280 -2.824 -1.804
Rh -4.354 -3.925 1.039
Rh -1.545 -4.420 -3.395
Rh -4.713 0.827 -1.975
B -4.720 -5.394 2.495
B -3.591 -2.238 -5.763
B -3.400 -5.183 -2.772
B -4.910 -2.449 -0.497
Hf -2.238 -2.250 2.095
Hf -1.918 -1.566 -3.730
Hf -2.120 1.005 -1.185
Hf -2.035 -4.821 -0.449
```

Summary:
Formation energy from the elements   -2.20 eV/f.u.
VASP energy   -8.178 eV per atom
Relative energy among the computed polymorphs   344 meV/atom

***

# 2
Material: In2HgSb
Method: DFT, PBE
State: optimized geometry

extended XYZ file:
```
4
Lattice="5.320 0.000 0.000 0.000 3.404 0.325 0.000 1.433 6.225" Properties=species:S:1:pos:R:3 pbc="T T T"
In 2.660 1.514 2.081
In 0.000 4.539 6.042
Sb 0.000 3.198 3.016
Hg 2.660 2.839 5.236
```

Summary:
Formation energy (no corrections)   0.15 eV/f.u.
VASP energy   -2.437 eV per atom
Relative energy among the computed polymorphs   35 meV/atom

***

# 3
Material: Ho5Tl3
Method: DFT, PBE
State: optimized geometry

extended XYZ file:
```
16
Lattice="5.109 0.000 0.000 0.000 6.803 0.000 0.000 0.000 13.130" Properties=species:S:1:pos:R:3 pbc="T T T"
Tl 0.000 0.000 0.000
Tl 2.555 6.052 4.585
Tl 2.555 2.650 1.981
Tl 0.000 3.401 6.565
Tl 2.555 4.152 11.150
Tl 2.555 0.751 8.546
Ho 0.000 4.430 3.601
Ho 0.000 3.401 0.000
Ho 2.555 2.329 5.162
Ho 0.000 2.373 9.529
Ho 0.000 0.000 6.565
Ho 2.555 5.730 1.403
Ho 2.555 1.072 11.728
Ho 0.000 1.029 2.964
Ho 0.000 5.774 10.166
Ho 2.555 4.474 7.968
```

Summary:
Formation energy from the elements   -2.22 eV/f.u.
VASP energy   -4.026 eV per atom
Relative energy among the computed polymorphs   22 meV/atom

***

# 4
Material: Pr4AsS2N
Method: DFT, PBE
State: optimized geometry

extended XYZ file:
```
16
Lattice="4.090 0.000 0.000 -2.045 6.808 0.000 0.000 0.000 14.480" Properties=species:S:1:pos:R:3 pbc="T T T"
Pr 0.000 0.000 7.240
Pr 0.000 3.686 5.369
Pr 0.000 3.686 1.871
Pr 2.045 0.929 3.620
Pr 0.000 0.000 0.000
Pr 2.045 3.122 9.111
Pr 0.000 5.879 10.860
Pr 2.045 3.122 12.609
N 2.045 4.615 10.860
N 0.000 2.194 3.620
As 2.045 5.338 3.620
As 0.000 1.470 10.860
S 2.045 1.851 6.406
S 0.000 4.957 8.074
S 0.000 4.957 13.646
S 2.045 1.851 0.834
```

Summary:
Formation energy (no corrections)   -12.76 eV/f.u.
VASP energy   -6.638 eV per atom